No. 1
NbBIr | PBE | optimized geometry

Structure (POSCAR):
```
NbBIr
1.0
0.000 2.899 2.899
2.899 0.000 2.899
2.899 2.899 0.000
Nb B Ir
1 1 1
Direct
0.000 0.000 0.000
0.250 0.250 0.250
0.750 0.750 0.750
```

***

No. 2
NbNiBIr | PBE | optimized geometry

Structure (POSCAR):
```
NbNiBIr
1.0
0.000 2.972 2.972
2.972 0.000 2.972
2.972 2.972 0.000
Nb Ni B Ir
1 1 1 1
Direct
0.000 0.000 0.000
0.500 0.500 0.500
0.250 0.250 0.250
0.750 0.750 0.750
```

***

No. 3
NbNiBIr | PBE | optimized geometry

Structure (POSCAR):
```
NbNiBIr
1.0
0.000 2.909 2.909
2.909 0.000 2.909
2.909 2.909 0.000
Nb Ni B Ir
1 1 1 1
Direct
0.000 0.000 0.000
0.250 0.250 0.250
0.750 0.750 0.750
0.500 0.500 0.500
```

***

No. 4
NdB4Ir | PBE | optimized geometry

Structure (POSCAR):
```
NdB4Ir
1.0
-1.575 2.674 3.962
1.575 -2.674 3.962
1.575 2.674 -3.962
Nd B Ir
1 4 1
Direct
0.000 0.000 0.000
0.080 0.748 0.332
0.417 0.748 0.668
0.583 0.252 0.332
0.920 0.252 0.668
0.500 0.500 0.000
```

***

No. 5
NdB4Ir | PBE | optimized geometry

Structure (POSCAR):
```
NdB4Ir
1.0
3.289 0.000 0.000
-1.645 2.849 0.000
0.000 0.000 6.936
Nd B Ir
1 4 1
Direct
0.000 0.000 0.000
0.333 0.667 0.294
0.333 0.667 0.706
0.667 0.333 0.294
0.667 0.333 0.706
0.000 0.000 0.500
```

***

No. 6
NdBIr | PBE | optimized geometry

Structure (POSCAR):
```
NdBIr
1.0
0.000 3.126 3.126
3.126 0.000 3.126
3.126 3.126 0.000
Nd B Ir
1 1 1
Direct
0.000 0.000 0.000
0.500 0.500 0.500
0.750 0.750 0.750
```

***

No. 7
NdBIr | PBE | optimized geometry

Structure (POSCAR):
```
NdBIr
1.0
0.000 3.006 3.006
3.006 0.000 3.006
3.006 3.006 0.000
Nd B Ir
1 1 1
Direct
0.000 0.000 0.000
0.750 0.750 0.750
0.500 0.500 0.500
```

***

No. 8
PrNdB2Ir2O2 | PBE | optimized geometry

Structure (POSCAR):
```
PrNdB2Ir2O2
1.0
3.859 0.000 0.000
0.000 3.859 0.000
0.000 0.000 7.525
Pr Nd B Ir O
1 1 2 2 2
Direct
0.000 0.000 0.000
0.500 0.500 0.635
0.000 0.000 0.464
0.500 0.500 0.173
0.000 0.500 0.319
0.500 0.000 0.319
0.000 0.000 0.666
0.500 0.500 0.970
```

***

No. 9
NdSmB2Ir2O2 | PBE | optimized geometry

Structure (POSCAR):
```
NdSmB2Ir2O2
1.0
3.844 0.000 0.000
0.000 3.844 0.000
0.000 0.000 7.447
Nd Sm B Ir O
1 1 2 2 2
Direct
0.000 0.000 0.000
0.500 0.500 0.367
0.000 0.000 0.534
0.500 0.500 0.830
0.000 0.500 0.681
0.500 0.000 0.681
0.000 0.000 0.330
0.500 0.500 0.036
```

***

No. 10
PrNdB2P2Ir2 | PBE | optimized geometry

Structure (POSCAR):
```
PrNdB2P2Ir2
1.0
4.029 0.000 0.000
0.000 4.029 0.000
0.000 0.000 8.435
Pr Nd B P Ir
1 1 2 2 2
Direct
0.000 0.000 0.000
0.500 0.500 0.610
0.000 0.000 0.413
0.500 0.500 0.196
0.000 0.000 0.651
0.500 0.500 0.957
0.000 0.500 0.305
0.500 0.000 0.305
```

***

No. 11
Nd2B4IrPd4 | PBE | optimized geometry

Structure (POSCAR):
```
Nd2B4IrPd4
1.0
0.000 5.003 5.956
2.731 0.000 5.956
2.731 5.003 0.000
Nd B Ir Pd
2 4 1 4
Direct
0.146 0.146 0.854
0.854 0.854 0.146
0.219 0.517 0.483
0.483 0.781 0.219
0.517 0.219 0.781
0.781 0.483 0.517
0.500 0.500 0.500
0.000 0.000 0.500
0.250 0.250 0.250
0.500 0.500 0.000
0.750 0.750 0.750
```

***

No. 12
Nd2B4IrPt4 | PBE | optimized geometry

Structure (POSCAR):
```
Nd2B4IrPt4
1.0
0.000 4.889 6.223
2.701 0.000 6.223
2.701 4.889 0.000
Nd B Ir Pt
2 4 1 4
Direct
0.141 0.141 0.859
0.859 0.859 0.141
0.216 0.524 0.476
0.476 0.784 0.216
0.524 0.216 0.784
0.784 0.476 0.524
0.500 0.500 0.500
0.000 0.000 0.500
0.250 0.250 0.250
0.500 0.500 0.000
0.750 0.750 0.750
```

***

Number 1: total DFT energy (no corrections) -0.5805 Ry/atom. Number 2: total DFT energy (no corrections) -0.5519 Ry/atom. Number 3: total DFT energy (no corrections) -0.5764 Ry/atom. Number 4: total DFT energy (no corrections) -0.4903 Ry/atom. Number 5: total DFT energy (no corrections) -0.4989 Ry/atom. Number 6: total DFT energy (no corrections) -0.4575 Ry/atom. Number 7: total DFT energy (no corrections) -0.4848 Ry/atom. Number 8: total DFT energy (no corrections) -0.5828 Ry/atom. Number 9: total DFT energy (no corrections) -0.5830 Ry/atom. Number 10: total DFT energy (no corrections) -0.5398 Ry/atom. Number 11: total DFT energy (no corrections) -0.4684 Ry/atom. Number 12: total DFT energy (no corrections) -0.5028 Ry/atom.